Entry 1:
VASP calculation (PBE-GGA) on LiTm2NpSe4 after structural relaxation.

Cell lengths 4.0232, 7.0006, 7.0069 Å; angles 109.50, 90.00, 90.00 degrees
Closest atoms and distances in Å follow each position.
Atoms (fractional coordinates):
Li 0.5000 0.5000 0.0000  6 Se 2.83-2.84
Se 0.0000 0.7432 0.2510  3 Tm 2.82-2.87, 2 Li 2.84, 1 Np 2.90
Np 0.0000 0.0000 0.0000  6 Se 2.88-2.90
Se 0.0000 0.2568 0.7490  3 Tm 2.82-2.87, 2 Li 2.84, 1 Np 2.90
Tm 0.5000 0.0000 0.5000  6 Se 2.87-2.89
Se 0.5000 0.7419 0.7468  3 Tm 2.82-2.89, 1 Li 2.83, 2 Np 2.88
Se 0.5000 0.2581 0.2532  3 Tm 2.82-2.89, 1 Li 2.83, 2 Np 2.88
Tm 0.0000 0.5000 0.5000  6 Se 2.82

* raw formation energy: -1.51 eV per atom
* N(E_F): 13.13 states/eV/f.u.
* space-group type: P2/m, No. 10


Entry 2:
VASP calculation (PBE-GGA) on Li4NpU3Se8 after structural relaxation.

Cell lengths 8.0508, 8.0852, 8.0509 Å; angles 119.86, 120.00, 90.00 degrees
Closest atoms and distances in Å follow each position.
Atoms (fractional coordinates):
Se 0.2543 0.7601 0.5085  3 Li 2.80-2.82, 2 U 2.89, 1 Np 2.90
Se 0.7537 0.7612 0.5075  3 Li 2.81, 3 U 2.90
Se 0.7457 0.2399 0.4915  3 Li 2.80-2.82, 2 U 2.89, 1 Np 2.90
Li 0.0000 0.0000 0.0000  6 Se 2.81-2.82
Se 0.2463 0.2388 0.4925  3 Li 2.81, 3 U 2.90
Se 0.2543 0.7601 0.0059  3 Li 2.80-2.82, 2 U 2.89, 1 Np 2.90
Li 0.5000 0.0000 0.5000  6 Se 2.81-2.82
U 0.5000 0.5000 0.0000  6 Se 2.89-2.90
U 0.0000 0.5000 0.5000  6 Se 2.89-2.90
Se 0.7457 0.2399 0.9941  3 Li 2.80-2.82, 2 U 2.89, 1 Np 2.90
Se 0.7516 0.7601 0.0059  3 Li 2.80-2.82, 2 U 2.89, 1 Np 2.90
Np 0.0000 0.5000 0.0000  6 Se 2.90
U 0.5000 0.5000 0.5000  6 Se 2.89-2.90
Li 0.0000 0.0000 0.5000  6 Se 2.81-2.82
Se 0.2484 0.2399 0.9941  3 Li 2.80-2.82, 2 U 2.89, 1 Np 2.90
Li 0.5000 0.0000 0.0000  6 Se 2.80

* raw formation energy: -1.19 eV per atom
* N(E_F): 20.44 states/eV/f.u.
* space-group type: R-3m, No. 166


Entry 3:
VASP calculation (PBE-GGA) on LiNp2U3Se6 after structural relaxation.

Cell lengths 3.9742, 8.2845, 9.0679 Å; angles 103.84, 102.66, 90.00 degrees
Closest atoms and distances in Å follow each position.
Atoms (fractional coordinates):
Se 0.3424 0.9137 0.6847  1 Li 2.70, 3 U 2.87-2.91, 2 Np 2.89
Se 0.3323 0.4092 0.6646  3 Np 2.85-2.89, 3 U 2.88-2.89
Se 0.0037 0.7602 0.0075  2 Li 2.82, 1 Np 2.89, 3 U 2.90-2.92
Se 0.6677 0.5908 0.3354  3 Np 2.85-2.89, 3 U 2.88-2.89
Se 0.9963 0.2398 0.9925  2 Li 2.82, 1 Np 2.89, 3 U 2.90-2.92
U 0.1729 0.8462 0.3457  6 Se 2.87-2.91
Np 0.1644 0.3420 0.3287  6 Se 2.85-2.89
U 0.5000 0.5000 0.0000  6 Se 2.88-2.92
Np 0.8356 0.6580 0.6713  6 Se 2.85-2.89
U 0.8271 0.1538 0.6543  6 Se 2.87-2.91
Li 0.5000 0.0000 0.0000  6 Se 2.70-2.82
Se 0.6576 0.0863 0.3153  1 Li 2.70, 3 U 2.87-2.91, 2 Np 2.89

* raw formation energy: -1.06 eV per atom
* N(E_F): 30.53 states/eV/f.u.
* space-group type: C2/m, No. 12


Entry 4:
VASP calculation (PBE-GGA) on LiNpUSe3 after structural relaxation.

Cell lengths 3.9174, 8.5397, 8.7722 Å; angles 104.73, 90.00, 90.00 degrees
Closest atoms and distances in Å follow each position.
Atoms (fractional coordinates):
Se 0.2500 0.7773 0.5013  3 Li 2.49-2.55
Se 0.2500 0.5778 0.8107  3 U 2.88-2.90, 2 Np 2.94
Se 0.7500 0.9025 0.1298  1 Li 2.49
Np 0.7500 0.8254 0.7810  7 Se 2.94-3.08
Se 0.7500 0.2227 0.4987  3 Li 2.49-2.55
Li 0.7500 0.9140 0.4167  4 Se 2.49-2.55, 2 Li 2.65
Se 0.7500 0.4222 0.1893  3 U 2.88-2.90, 2 Np 2.94
U 0.7500 0.3423 0.8471  6 Se 2.88-2.97
Se 0.2500 0.0975 0.8702  1 Li 2.49
Np 0.2500 0.1746 0.2190  7 Se 2.94-3.08
U 0.2500 0.6577 0.1529  6 Se 2.88-2.97
Li 0.2500 0.0860 0.5833  4 Se 2.49-2.55, 2 Li 2.65

* raw formation energy: -1.07 eV per atom
* N(E_F): 13.29 states/eV/f.u.
* space-group type: P2_1/m, No. 11


Entry 5:
VASP calculation (PBE-GGA) on Li2Np3USe6 after structural relaxation.

Cell lengths 4.0704, 8.1518, 9.0332 Å; angles 101.90, 103.02, 90.00 degrees
Closest atoms and distances in Å follow each position.
Atoms (fractional coordinates):
Se 0.6683 0.5815 0.3365  3 Li 2.71-2.78, 3 Np 2.89-2.90
U 0.5000 0.0000 0.0000  6 Se 2.88-2.89
Np 0.8349 0.1669 0.6697  6 Se 2.88-2.94
Np 0.1651 0.8331 0.3303  6 Se 2.88-2.94
Np 0.5000 0.5000 0.0000  6 Se 2.88-2.89
Li 0.8258 0.6481 0.6517  6 Se 2.71-2.92
Se 0.9941 0.7466 0.9883  3 Np 2.88-2.94, 2 U 2.89, 1 Li 2.90
Se 0.3317 0.4185 0.6635  3 Li 2.71-2.78, 3 Np 2.89-2.90
Se 0.3328 0.9074 0.6655  1 U 2.88, 3 Np 2.88-2.93, 2 Li 2.92
Se 0.0059 0.2534 0.0117  3 Np 2.88-2.94, 2 U 2.89, 1 Li 2.90
Se 0.6672 0.0926 0.3345  1 U 2.88, 3 Np 2.88-2.93, 2 Li 2.92
Li 0.1742 0.3519 0.3483  6 Se 2.71-2.92

* raw formation energy: -1.14 eV per atom
* N(E_F): 32.78 states/eV/f.u.
* space-group type: C2/m, No. 12


Entry 6:
VASP calculation (PBE-GGA) on Li3Np2USe6 after structural relaxation.

Cell lengths 7.0446, 7.0446, 6.9356 Å; angles 99.75, 99.75, 120.00 degrees
Closest atoms and distances in Å follow each position.
Atoms (fractional coordinates):
Li 0.5000 0.5000 0.5000  6 Se 2.82-2.85
Np 0.3332 0.6668 0.0000  6 Se 2.90
Se 0.7549 0.7549 0.2574  3 Li 2.82-2.85, 1 U 2.87, 2 Np 2.90
U 0.0000 0.0000 0.0000  6 Se 2.87-2.88
Np 0.6668 0.3332 0.0000  6 Se 2.90
Li 0.8334 0.1666 0.5000  6 Se 2.82-2.84
Se 0.5830 0.9138 0.7416  3 Li 2.82-2.84, 1 U 2.88, 2 Np 2.90
Li 0.1666 0.8334 0.5000  6 Se 2.82-2.84
Se 0.9138 0.5830 0.7416  3 Li 2.82-2.84, 1 U 2.88, 2 Np 2.90
Se 0.4170 0.0862 0.2584  3 Li 2.82-2.84, 1 U 2.88, 2 Np 2.90
Se 0.2451 0.2451 0.7426  3 Li 2.82-2.85, 1 U 2.87, 2 Np 2.90
Se 0.0862 0.4170 0.2584  3 Li 2.82-2.84, 1 U 2.88, 2 Np 2.90

* raw formation energy: -1.20 eV per atom
* N(E_F): 23.78 states/eV/f.u.
* space-group type: C2/m, No. 12


Entry 7:
VASP calculation (PBE-GGA) on LiNpU2Se4 after structural relaxation.

Cell lengths 3.9953, 6.9098, 7.2179 Å; angles 108.66, 90.00, 90.00 degrees
Closest atoms and distances in Å follow each position.
Atoms (fractional coordinates):
Np 0.0000 0.0000 0.0000  6 Se 2.86-2.87
Se 0.0000 0.7394 0.2396  2 Li 2.81, 1 Np 2.87, 3 U 2.87-2.93
Se 0.0000 0.2606 0.7604  2 Li 2.81, 1 Np 2.87, 3 U 2.87-2.93
Li 0.5000 0.5000 0.0000  6 Se 2.80-2.81
U 0.5000 0.0000 0.5000  6 Se 2.93-2.94
U 0.0000 0.5000 0.5000  6 Se 2.87-2.88
Se 0.5000 0.2553 0.2431  1 Li 2.80, 2 Np 2.86, 3 U 2.88-2.94
Se 0.5000 0.7447 0.7569  1 Li 2.80, 2 Np 2.86, 3 U 2.88-2.94

* raw formation energy: -1.10 eV per atom
* N(E_F): 16.57 states/eV/f.u.
* space-group type: P2/m, No. 10


Entry 8:
VASP calculation (PBE-GGA) on Li3Np2VSe6 after structural relaxation.

Cell lengths 6.8269, 6.8269, 6.8788 Å; angles 99.53, 99.53, 120.02 degrees
Closest atoms and distances in Å follow each position.
Atoms (fractional coordinates):
Li 0.8338 0.1662 0.5000  6 Se 2.74-2.91
Np 0.3329 0.6671 0.0000  6 Se 2.85
Se 0.9162 0.6034 0.7496  1 V 2.68, 3 Li 2.74-2.91, 2 Np 2.85
Se 0.3966 0.0838 0.2504  1 V 2.68, 3 Li 2.74-2.91, 2 Np 2.85
Se 0.2302 0.2302 0.7534  1 V 2.67, 3 Li 2.75-2.93, 2 Np 2.85
Se 0.7698 0.7698 0.2466  1 V 2.67, 3 Li 2.75-2.93, 2 Np 2.85
Li 0.5000 0.5000 0.5000  6 Se 2.74-2.93
Np 0.6671 0.3329 0.0000  6 Se 2.85
Se 0.0838 0.3966 0.2504  1 V 2.68, 3 Li 2.74-2.91, 2 Np 2.85
Se 0.6034 0.9162 0.7496  1 V 2.68, 3 Li 2.74-2.91, 2 Np 2.85
Li 0.1662 0.8338 0.5000  6 Se 2.74-2.91
V 0.0000 0.0000 0.0000  6 Se 2.67-2.68

* raw formation energy: -1.10 eV per atom
* N(E_F): 22.64 states/eV/f.u.
* space-group type: C2/m, No. 12


Entry 9:
VASP calculation (PBE-GGA) on Li4Np3VSe8 after structural relaxation.

Cell lengths 7.9511, 7.9688, 7.9510 Å; angles 119.93, 120.00, 90.00 degrees
Closest atoms and distances in Å follow each position.
Atoms (fractional coordinates):
Se 0.7673 0.7484 0.0079  1 V 2.71, 3 Li 2.77-2.92, 2 Np 2.86
Np 0.0000 0.5000 0.5000  6 Se 2.86
Se 0.7539 0.7618 0.5079  3 Li 2.77, 3 Np 2.86
Li 0.5000 0.0000 0.5000  6 Se 2.77
Np 0.5000 0.5000 0.0000  6 Se 2.86
Np 0.5000 0.5000 0.5000  6 Se 2.86
Se 0.7594 0.2516 0.9921  1 V 2.71, 3 Li 2.77-2.92, 2 Np 2.86
Li 0.0000 0.0000 0.0000  6 Se 2.77
Se 0.2327 0.2516 0.9921  1 V 2.71, 3 Li 2.77-2.92, 2 Np 2.86
Se 0.2406 0.7485 0.4812  1 V 2.71, 3 Li 2.77-2.92, 2 Np 2.86
V 0.0000 0.5000 0.0000  6 Se 2.71
Li 0.0000 0.0000 0.5000  6 Se 2.77
Se 0.7594 0.2515 0.5188  1 V 2.71, 3 Li 2.77-2.92, 2 Np 2.86
Li 0.5000 0.0000 0.0000  6 Se 2.92
Se 0.2461 0.2382 0.4921  3 Li 2.77, 3 Np 2.86
Se 0.2406 0.7484 0.0079  1 V 2.71, 3 Li 2.77-2.92, 2 Np 2.86

* raw formation energy: -1.12 eV per atom
* N(E_F): 27.05 states/eV/f.u.
* space-group type: R-3m, No. 166


Entry 10:
VASP calculation (PBE-GGA) on Li3NpV2Se6 after structural relaxation.

Cell lengths 6.5855, 6.5855, 6.8006 Å; angles 99.40, 99.40, 120.00 degrees
Closest atoms and distances in Å follow each position.
Atoms (fractional coordinates):
Li 0.8397 0.1603 0.5000  6 Se 2.68-2.85
Se 0.4381 0.0802 0.2388  2 V 2.61-2.62, 3 Li 2.68-2.85, 1 Np 2.81
Se 0.5619 0.9198 0.7612  2 V 2.61-2.62, 3 Li 2.68-2.85, 1 Np 2.81
Se 0.0802 0.4381 0.2388  2 V 2.61-2.62, 3 Li 2.68-2.85, 1 Np 2.81
Np 0.0000 0.0000 0.0000  6 Se 2.81
Se 0.9198 0.5619 0.7612  2 V 2.61-2.62, 3 Li 2.68-2.85, 1 Np 2.81
Li 0.1603 0.8397 0.5000  6 Se 2.68-2.85
V 0.3323 0.6677 0.0000  6 Se 2.61-2.63
Se 0.2774 0.2774 0.7609  2 V 2.63, 3 Li 2.65-2.78, 1 Np 2.81
Li 0.5000 0.5000 0.5000  6 Se 2.65-2.83
Se 0.7226 0.7226 0.2391  2 V 2.63, 3 Li 2.65-2.78, 1 Np 2.81
V 0.6677 0.3323 0.0000  6 Se 2.61-2.63

* raw formation energy: -1.03 eV per atom
* N(E_F): 16.08 states/eV/f.u.
* space-group type: C2/m, No. 12